## As2OsPbO8 (PBE)

Data for a relaxed As2OsPbO8 crystal.

```
data_As2OsPbO8
_chemical_formula_sum 'As6 Os3 Pb3 O24'
_space_group_name_H-M_alt 'R -3'
_space_group_IT_number 148
_space_group_name_Hall '-R 3'
_cell_length_a 4.9933
_cell_length_b 4.9933
_cell_length_c 22.8969
_cell_angle_alpha 90.00
_cell_angle_beta 90.00
_cell_angle_gamma 120.00
loop_
_atom_site_label
_atom_site_type_symbol
_atom_site_fract_x
_atom_site_fract_y
_atom_site_fract_z
As1 As 0.0000 0.0000 0.2407
Os1 Os 0.0000 0.0000 0.5000
Pb1 Pb 0.0000 0.0000 0.0000
O1 O 0.0000 0.0000 0.3151
O2 O 0.0036 0.3237 0.4479
```

Properties
DFT total energy ... -0.467 Ry/atom
Formation energy without anion corrections ... -12.42 eV/f.u.
Crystal system ... trigonal